# Rb2Hg2Rh

A relaxed Rb2Hg2Rh crystal (PBE, Alexandria via LeMat-Bulk).

Unit cell a=10.8464 b=10.8464 c=10.8464 alpha=157.74 beta=157.74 gamma=31.68
Element x y z (fractional)
Rb  0.0927  0.0927  0.0000
Rb  0.9073  0.9073  0.0000
Hg  0.2500  0.7500  0.5000
Hg  0.7500  0.2500  0.5000
Rh  0.5000  0.5000  0.0000

Output
Energy relative to the elements (eV/atom): 0.44
Theoretical density (g/cm3): 6.1

***

# RbHg2RhS

A relaxed RbHg2RhS crystal (PBE, Alexandria via LeMat-Bulk).

Unit cell a=6.2478 b=6.2478 c=4.3143 alpha=90.00 beta=90.00 gamma=90.00
Element x y z (fractional)
Rb  0.0000  0.0000  0.0000
Hg  0.0000  0.5000  0.5000
Hg  0.5000  0.0000  0.5000
Rh  0.5000  0.5000  0.0000
S  0.5000  0.5000  0.5000

Output
Theoretical density (g/cm3): 6.1
Formation energy (no corrections) (eV per atom): 0.047

***

# RbHg2RhS

A relaxed RbHg2RhS crystal (PBE, Alexandria via LeMat-Bulk).

Unit cell a=5.4073 b=5.4073 c=4.7081 alpha=90.00 beta=90.00 gamma=90.00
Element x y z (fractional)
Rb  0.0000  0.0000  0.0000
Hg  0.0000  0.5000  0.5000
Hg  0.5000  0.0000  0.5000
Rh  0.5000  0.5000  0.5000
S  0.5000  0.5000  0.0000

Output
Theoretical density (g/cm3): 7.5
Formation energy (no corrections) (eV per atom): -0.253

***

# RbHgSb2Rh

A relaxed RbHgSb2Rh crystal (PBE, Alexandria via LeMat-Bulk).

Unit cell a=6.0683 b=6.0683 c=5.9355 alpha=90.00 beta=90.00 gamma=90.00
Element x y z (fractional)
Rb  0.0000  0.0000  0.0000
Hg  0.0000  0.0000  0.5000
Sb  0.0000  0.5000  0.0000
Sb  0.5000  0.0000  0.0000
Rh  0.5000  0.5000  0.5000

Output
Theoretical density (g/cm3): 4.8
Formation energy (no corrections) (eV per atom): 1.759

***

# RbSnHg2Rh

A relaxed RbSnHg2Rh crystal (PBE, Alexandria via LeMat-Bulk).

Unit cell a=5.4335 b=5.4335 c=5.0536 alpha=90.00 beta=90.00 gamma=90.00
Element x y z (fractional)
Rb  0.0000  0.0000  0.0000
Sn  0.5000  0.5000  0.0000
Hg  0.0000  0.5000  0.5000
Hg  0.5000  0.0000  0.5000
Rh  0.5000  0.5000  0.5000

Output
Energy relative to the elements (eV/atom): -0.20
Theoretical density (g/cm3): 7.9

***

# RbSrHg2Rh

A relaxed RbSrHg2Rh crystal (PBE, Alexandria via LeMat-Bulk).

Unit cell a=5.5125 b=5.5125 c=5.4439 alpha=90.00 beta=90.00 gamma=90.00
Element x y z (fractional)
Rb  0.0000  0.0000  0.0000
Sr  0.5000  0.5000  0.0000
Hg  0.0000  0.5000  0.5000
Hg  0.5000  0.0000  0.5000
Rh  0.5000  0.5000  0.5000

Output
Energy relative to the elements (eV/atom): -0.17
Theoretical density (g/cm3): 6.8